Record 1
A relaxed structure of HfZrTl2N. Source: the Alexandria database, functional PBE.

abc: 5.7096 5.7096 5.1553
angles: 90.00 90.00 90.00
Closest atoms and distances in Å follow each position.
Atoms (fractional coordinates):
1 Hf 0.0000 0.0000 0.0000  2 Zr 2.58
2 Zr 0.0000 0.0000 0.5000  2 Hf 2.58, 4 Tl 2.85
3 Tl 0.0000 0.5000 0.5000  2 Zr 2.85
4 Tl 0.5000 0.0000 0.5000  2 Zr 2.85
5 N 0.5000 0.5000 0.0000  8 Tl 3.85, 4 Hf 4.04

Results
* formation energy from raw total energies: 1818.8 meV per atom
* density: 6.8 g/cm3


Record 2
A relaxed structure of TaTi3Pd. Source: the Alexandria database, functional PBE.

abc: 4.6840 4.6840 4.6840
angles: 90.00 90.00 90.00
Closest atoms and distances in Å follow each position.
Atoms (fractional coordinates):
1 Ta 0.0000 0.0000 0.0000  12 Ti 3.31
2 Ti 0.0000 0.5000 0.5000  2 Pd 2.34
3 Ti 0.5000 0.0000 0.5000  2 Pd 2.34
4 Ti 0.5000 0.5000 0.0000  2 Pd 2.34
5 Pd 0.5000 0.5000 0.5000  6 Ti 2.34

Results
* formation energy from the elements: 0.84 eV/atom
* density: 7.0 g/cm3


Record 3
A relaxed structure of K2LiSb3Au4. Source: the Alexandria database, functional PBE.

abc: 4.8108 4.8108 11.2103
angles: 90.00 90.00 90.00
Closest atoms and distances in Å follow each position.
Atoms (fractional coordinates):
1 K 0.0000 0.5000 0.2441  6 Sb 3.63-3.74, 8 Au 3.64-3.71, 2 Li 3.74
2 K 0.5000 0.0000 0.7559  6 Sb 3.63-3.74, 8 Au 3.64-3.71, 2 Li 3.74
3 Li 0.0000 0.0000 0.5000  4 Au 2.77
4 Sb 0.0000 0.5000 0.8686  5 Au 2.75-2.82
5 Sb 0.5000 0.0000 0.1314  5 Au 2.75-2.82
6 Sb 0.5000 0.5000 0.5000  4 Au 2.77
7 Au 0.0000 0.0000 0.0000  4 Sb 2.82
8 Au 0.0000 0.5000 0.6233  3 Sb 2.75-2.77, 2 Li 2.77
9 Au 0.5000 0.0000 0.3767  3 Sb 2.75-2.77, 2 Li 2.77
10 Au 0.5000 0.5000 0.0000  4 Sb 2.82

Results
* formation energy from raw total energies: -378.6 meV per atom
* density: 7.9 g/cm3


no.,V (Å³ per atom)
1,33.61
2,20.55
3,25.94